A plane-wave DFT calculation with SCAN was carried out for ScTc4As at its PBEsol-relaxed geometry.

The space group is F-43m (No. 216) and the conventional cell measures 7.250, 7.250 and 7.250 Å, with angles of 90.00, 90.00 and 90.00 degrees. The distinct sites, in fractional coordinates, are Sc at (0.000, 0.000, 0.000), Tc at (0.124, 0.124, 0.376) and As at (0.250, 0.250, 0.750).

The value obtained for the formation energy is 0.069 eV/atom. As for the theoretical density: 8.92 g/cm³. For the density of states at the Fermi level, the calculation gives 18.36 states/eV/cell.